The following is a GGA-PBE calculation of an optimized crystal structure of Al2TcRh, from Alexandria.

Properties
Size of the total moment = 0.00 μB/f.u.
Density of states at the Fermi level = 1.0582 states/eV per atom
Energy above the most stable polymorph in this dataset = 301.9 meV per atom

Cell lengths 3.1493, 3.1493, 5.7963 Å; angles 90.00, 90.00, 90.00 degrees
Space group P4mm (No. 99)
One atom of each set of equivalent atoms:
Al 0.0000 0.0000 0.0000 x1
Al 0.5000 0.5000 0.2694 x1
Tc 0.5000 0.5000 0.7816 x1
Rh 0.0000 0.0000 0.4813 x1

---

The following is a GGA-PBE calculation of an optimized crystal structure of AlTc2Rh, from Alexandria.

Properties
Size of the total moment = 0.00 μB/f.u.
Density of states at the Fermi level = 0.8056 states/eV per atom

Cell lengths 8.8827, 2.7627, 4.7944 Å; angles 90.00, 100.06, 90.00 degrees
Space group Cm (No. 8)
One atom of each set of equivalent atoms:
Al 0.0000 0.0000 0.0000 x2
Tc 0.0119 0.5000 0.4966 x2
Tc 0.2560 0.5000 0.3130 x2
Rh 0.2540 0.0000 0.8228 x2

---

The following is a GGA-PBE calculation of an optimized crystal structure of Al3TcRh, from Alexandria.

Properties
Size of the total moment = 2.79 μB/f.u.
Density of states at the Fermi level = 0.6863 states/eV per atom
Energy above the most stable polymorph in this dataset = 0.0 meV per atom

Cell lengths 4.5757, 4.5757, 4.5757 Å; angles 90.00, 90.00, 90.00 degrees
Space group Pm-3m (No. 221)
One atom of each set of equivalent atoms:
Al 0.0000 0.0000 0.5000 x3
Tc 0.5000 0.5000 0.5000 x1
Rh 0.0000 0.0000 0.0000 x1

---

The following is a GGA-PBE calculation of an optimized crystal structure of Al2Tc2Rh, from Alexandria.

Properties
Size of the total moment = 0.00 μB/f.u.
Density of states at the Fermi level = 0.9945 states/eV per atom

Cell lengths 6.4581, 6.4581, 3.4671 Å; angles 90.00, 90.00, 90.00 degrees
Space group P4/mbm (No. 127)
One atom of each set of equivalent atoms:
Al 0.1376 0.3624 0.0000 x4
Tc 0.1654 0.6654 0.5000 x4
Rh 0.0000 0.0000 0.0000 x2

---

The following is a GGA-PBE calculation of an optimized crystal structure of Al2TcRh, from Alexandria.

Properties
Size of the total moment = 1.51 μB/f.u.
Density of states at the Fermi level = 0.7586 states/eV per atom
Energy above the most stable polymorph in this dataset = 690.9 meV per atom

Cell lengths 6.6621, 6.6621, 5.6709 Å; angles 90.00, 90.00, 90.00 degrees
Space group I-42d (No. 122)
One atom of each set of equivalent atoms:
Al 0.2355 0.2500 0.1250 x8
Tc 0.0000 0.0000 0.5000 x4
Rh 0.0000 0.0000 0.0000 x4

---

The following is a GGA-PBE calculation of an optimized crystal structure of AlTc2Rh, from Alexandria.

Properties
Size of the total moment = 0.00 μB/f.u.
Density of states at the Fermi level = 1.0461 states/eV per atom

Cell lengths 2.8534, 2.8534, 6.9878 Å; angles 90.00, 90.00, 90.00 degrees
Space group P4/mmm (No. 123)
One atom of each set of equivalent atoms:
Al 0.0000 0.0000 0.0000 x1
Tc 0.5000 0.5000 0.2385 x2
Rh 0.0000 0.0000 0.5000 x1

---

The following is a GGA-PBE calculation of an optimized crystal structure of AlTc2Rh, from Alexandria.

Properties
Size of the total moment = 0.00 μB/f.u.
Density of states at the Fermi level = 0.8349 states/eV per atom

Cell lengths 4.5597, 4.5597, 2.7802 Å; angles 90.00, 90.00, 90.00 degrees
Space group P4/mmm (No. 123)
One atom of each set of equivalent atoms:
Al 0.0000 0.0000 0.0000 x1
Tc 0.0000 0.5000 0.5000 x2
Rh 0.5000 0.5000 0.0000 x1

---

The following is a GGA-PBE calculation of an optimized crystal structure of Al2TcRh, from Alexandria.

Properties
Size of the total moment = 0.00 μB/f.u.
Density of states at the Fermi level = 0.7624 states/eV per atom
Energy above the most stable polymorph in this dataset = 183.5 meV per atom

Cell lengths 3.0240, 4.1414, 9.0829 Å; angles 90.00, 90.00, 90.00 degrees
Space group Imm2 (No. 44)
One atom of each set of equivalent atoms:
Al 0.0000 0.0000 0.0000 x2
Al 0.0000 0.5000 0.2346 x2
Tc 0.0000 0.0000 0.4851 x2
Rh 0.0000 0.5000 0.7369 x2

---

The following is a GGA-PBE calculation of an optimized crystal structure of Al2TcRh, from Alexandria.

Properties
Size of the total moment = 0.00 μB/f.u.
Density of states at the Fermi level = 1.0379 states/eV per atom
Energy above the most stable polymorph in this dataset = 34.6 meV per atom

Cell lengths 6.0512, 6.0512, 6.0512 Å; angles 90.00, 90.00, 90.00 degrees
Space group Fm-3m (No. 225)
One atom of each set of equivalent atoms:
Al 0.2500 0.2500 0.2500 x8
Tc 0.0000 0.0000 0.0000 x4
Rh 0.0000 0.0000 0.5000 x4

---

The following is a GGA-PBE calculation of an optimized crystal structure of AlTcRh2, from Alexandria.

Properties
Size of the total moment = 0.00 μB/f.u.
Density of states at the Fermi level = 0.9536 states/eV per atom

Cell lengths 8.9107, 2.7354, 4.7289 Å; angles 90.00, 99.47, 90.00 degrees
Space group C2/m (No. 12)
One atom of each set of equivalent atoms:
Al 0.0000 0.0000 0.0000 x2
Tc 0.0000 0.5000 0.5000 x2
Rh 0.2480 0.5000 0.2512 x4

---

The following is a GGA-PBE calculation of an optimized crystal structure of AlTcRh2, from Alexandria.

Properties
Size of the total moment = 1.07 μB/f.u.
Density of states at the Fermi level = 1.4839 states/eV per atom

Cell lengths 4.5242, 4.5242, 2.8162 Å; angles 90.00, 90.00, 90.00 degrees
Space group P4/mmm (No. 123)
One atom of each set of equivalent atoms:
Al 0.0000 0.0000 0.0000 x1
Tc 0.5000 0.5000 0.0000 x1
Rh 0.0000 0.5000 0.5000 x2

---

The following is a GGA-PBE calculation of an optimized crystal structure of Al5TcRh4, from Alexandria.

Properties
Size of the total moment = 0.00 μB/f.u.
Density of states at the Fermi level = 0.5800 states/eV per atom

Cell lengths 3.0042, 3.0042, 15.1479 Å; angles 90.00, 90.00, 90.00 degrees
Space group P4/mmm (No. 123)
One atom of each set of equivalent atoms:
Al 0.0000 0.0000 0.0000 x1
Al 0.0000 0.0000 0.2003 x2
Al 0.0000 0.0000 0.3998 x2
Tc 0.5000 0.5000 0.5000 x1
Rh 0.5000 0.5000 0.0988 x2
Rh 0.5000 0.5000 0.2964 x2

---

The following is a GGA-PBE calculation of an optimized crystal structure of AlTc2Rh, from Alexandria.

Properties
Size of the total moment = 0.00 μB/f.u.
Density of states at the Fermi level = 0.8569 states/eV per atom

Cell lengths 2.8045, 3.8046, 5.4504 Å; angles 90.00, 91.49, 90.00 degrees
Space group Pm (No. 6)
One atom of each set of equivalent atoms:
Al 0.0000 0.0000 0.0000 x1
Tc 0.5225 0.5000 0.2829 x1
Tc 0.9631 0.0000 0.4931 x1
Rh 0.4871 0.5000 0.7957 x1

---

The following is a GGA-PBE calculation of an optimized crystal structure of AlTc3Rh, from Alexandria.

Properties
Size of the total moment = 0.00 μB/f.u.
Density of states at the Fermi level = 1.4886 states/eV per atom
Energy above the most stable polymorph in this dataset = 0.0 meV per atom

Cell lengths 4.3762, 4.3762, 4.3762 Å; angles 90.00, 90.00, 90.00 degrees
Space group Pm-3m (No. 221)
One atom of each set of equivalent atoms:
Al 0.0000 0.0000 0.0000 x1
Tc 0.0000 0.0000 0.5000 x3
Rh 0.5000 0.5000 0.5000 x1

---

Number 1: DFT formation energy -1.6 eV per formula unit. Number 2: DFT formation energy -1.0 eV per formula unit. Number 3: DFT formation energy 2.0 eV per formula unit. Number 4: DFT formation energy -0.9 eV per formula unit. Number 5: DFT formation energy 0.0 eV per formula unit. Number 6: DFT formation energy -0.6 eV per formula unit. Number 7: DFT formation energy -0.1 eV per formula unit. Number 8: DFT formation energy -2.0 eV per formula unit. Number 9: DFT formation energy -2.6 eV per formula unit. Number 10: DFT formation energy -1.3 eV per formula unit. Number 11: DFT formation energy -1.1 eV per formula unit. Number 12: DFT formation energy -9.3 eV per formula unit. Number 13: DFT formation energy -1.1 eV per formula unit. Number 14: DFT formation energy 7.0 eV per formula unit.